(1)
DFT (GGA-PBE) results for AcPa2Te5 after structural relaxation.

Values from the calculation:
D(E_F) = 18.4 states/eV/cell
Raw formation energy = -1.089 eV/atom
Symmetry = I4/mcm (140)
E = -95.0 eV/cell

The structure in extended XYZ format:
```
16
Lattice="-2.105 7.242 3.361 -7.226 -0.251 -3.986 1.634 -7.031 6.031" Properties=species:S:1:pos:R:3 pbc="T T T"
Ac -6.181 1.728 2.547
Ac -1.516 -1.768 2.859
Pa -2.884 0.942 -0.946
Pa -2.382 4.617 1.591
Pa -6.949 2.374 -2.217
Pa -6.448 6.049 0.321
Te -4.972 -1.471 3.241
Te -8.343 3.534 0.486
Te 0.000 0.000 0.000
Te -4.666 3.495 -0.313
Te 0.645 -3.574 4.919
Te -1.750 0.000 5.859
Te -2.577 -5.045 2.302
Te -5.947 -0.040 -0.453
Te -5.121 5.006 3.104
Te -2.725 1.431 2.164
```

(2)
DFT (GGA-PBE) results for TaSb2Mo after structural relaxation.

Values from the calculation:
D(E_F) = 4.0 states/eV/cell
Raw formation energy = 0.519 eV/atom
Symmetry = Pmmm (47)
E = -28.9 eV/cell

The structure in extended XYZ format:
```
4
Lattice="3.539 0.000 0.000 0.000 5.123 0.000 0.000 0.000 4.404" Properties=species:S:1:pos:R:3 pbc="T T T"
Mo 0.000 2.562 2.202
Sb 0.000 0.000 0.000
Sb 1.769 2.562 0.000
Ta 1.769 0.000 2.202
```

(3)
DFT (GGA-PBE) results for Ca2RhSe after structural relaxation.

Values from the calculation:
D(E_F) = 5.3 states/eV/cell
Raw formation energy = -0.749 eV/atom
Symmetry = Pmm2 (25)
E = -17.8 eV/cell

The structure in extended XYZ format:
```
4
Lattice="-0.280 -2.842 -2.485 4.450 -0.218 -0.253 0.062 -3.880 4.430" Properties=species:S:1:pos:R:3 pbc="T T T"
Ca 0.054 -3.404 3.886
Ca 2.108 -2.977 0.283
Rh 0.023 -1.461 1.669
Se 2.139 -4.918 2.499
```

(4)
DFT (GGA-PBE) results for La3Cu after structural relaxation.

Values from the calculation:
D(E_F) = 18.5 states/eV/cell
Symmetry = Pnma (62)
E = -76.6 eV/cell

The structure in extended XYZ format:
```
16
Lattice="7.197 0.000 0.000 0.000 10.449 0.000 0.000 0.000 6.671" Properties=species:S:1:pos:R:3 pbc="T T T"
Cu 6.424 2.612 2.800
Cu 4.372 7.837 6.135
Cu 2.825 2.612 0.535
Cu 0.773 7.837 3.871
La 0.182 2.612 5.694
La 3.417 7.837 2.359
La 3.780 2.612 4.312
La 7.016 7.837 0.977
La 1.381 0.608 2.232
La 2.217 9.841 5.568
La 4.980 4.616 1.103
La 5.816 5.833 4.439
La 5.816 9.841 4.439
La 4.980 0.608 1.103
La 2.217 5.833 5.568
La 1.381 4.616 2.232
```

(5)
DFT (GGA-PBE) results for LiNb4InN8 after structural relaxation.

Values from the calculation:
Raw formation energy = -0.556 eV/atom
Symmetry = R3m (160)
E = -119.3 eV/cell

The structure in extended XYZ format:
```
14
Lattice="-5.538 2.372 1.880 -1.266 0.560 6.158 -0.253 5.695 2.665" Properties=species:S:1:pos:R:3 pbc="T T T"
Li -6.795 2.952 8.038
Nb -4.262 2.594 5.357
Nb -0.750 3.184 4.367
Nb -2.832 4.067 2.282
Nb -0.133 2.911 1.366
In -2.791 6.038 5.346
N -2.547 5.104 7.244
N -4.876 6.091 4.913
N -1.857 4.799 3.887
N -1.703 2.298 2.675
N -4.494 3.439 3.608
N -2.348 2.529 5.756
N -5.130 3.721 6.701
N -5.346 6.344 8.027
```

(6)
DFT (GGA-PBE) results for Pu2TlRh after structural relaxation.

Values from the calculation:
Polymorph energy (0 for the lowest one) = 242 meV/atom
D(E_F) = 17.6 states/eV/cell
Symmetry = Fm-3m (225)
E = -38.4 eV/cell

The structure in extended XYZ format:
```
4
Lattice="-1.160 -4.072 -2.911 -2.346 -4.066 2.088 -4.901 -1.015 -1.161" Properties=species:S:1:pos:R:3 pbc="T T T"
Tl -4.203 -4.576 -0.992
Rh 0.000 0.000 0.000
Pu -2.102 -2.288 -0.496
Pu -6.305 -6.865 -1.488
```

(7)
DFT (GGA-PBE) results for MgAsPb2 after structural relaxation.

Values from the calculation:
Polymorph energy (0 for the lowest one) = 0 meV/atom
D(E_F) = 1.6 states/eV/cell
Symmetry = Pm (6)
E = -14.1 eV/cell

The structure in extended XYZ format:
```
4
Lattice="3.783 0.000 0.000 0.000 3.742 -0.016 0.000 1.817 7.746" Properties=species:S:1:pos:R:3 pbc="T T T"
Pb 0.000 2.025 7.524
Pb 1.891 2.120 2.159
As 0.000 2.070 4.542
Mg 1.891 3.940 5.117
```

(8)
DFT (GGA-PBE) results for SrMg14Mn after structural relaxation.

Values from the calculation:
D(E_F) = 6.9 states/eV/cell
Symmetry = Amm2 (38)
E = -31.7 eV/cell

The structure in extended XYZ format:
```
16
Lattice="-6.225 1.664 -1.293 1.515 -4.882 4.132 0.162 6.786 7.959" Properties=species:S:1:pos:R:3 pbc="T T T"
Sr -0.856 0.585 6.393
Mg -4.922 0.562 -0.379
Mg -1.074 -2.692 2.317
Mg -1.600 3.046 4.309
Mg -1.852 -0.280 0.276
Mg -3.997 1.409 5.754
Mg -4.148 -1.847 1.659
Mg -0.500 0.366 3.082
Mg -0.418 3.811 7.123
Mg -2.907 -1.277 4.533
Mg -2.825 2.167 8.573
Mg -3.696 1.405 2.611
Mg -3.622 4.504 6.246
Mg 0.287 -2.216 5.116
Mg 0.373 1.379 9.332
Mn -4.959 4.054 3.518
```